No. 1
Compound: BaCeBi2Pd2
Source: Alexandria
Functional: PBE
Structure: optimized geometry

Unit cell a=4.8760 b=4.8760 c=8.2808 alpha=90.00 beta=90.00 gamma=120.00
With the nearest neighbours (Å) after each atom.
Sites, in units of the cell vectors:
Ba 0.0000 0.0000 0.0000  6 Bi 3.66, 6 Pd 3.91
Ce 0.0000 0.0000 0.5000  6 Pd 3.16, 6 Bi 3.34
Bi 0.6667 0.3333 0.2821  3 Pd 2.84
Bi 0.3333 0.6667 0.7179  3 Pd 2.84
Pd 0.6667 0.3333 0.6720  3 Bi 2.84, 3 Ce 3.16
Pd 0.3333 0.6667 0.3280  3 Bi 2.84, 3 Ce 3.16

Computed properties:
Magnetic moment in Bohr magnetons per cell: 0.50
ΔH_f (0 K) in eV per formula unit: -4.8
Density in Mg/m³: 8.85
Calculated total energy in eV/atom: -5.1263
Density of states at the Fermi level in states/eV/atom: 0.899

***

No. 2
Compound: BaCeBi4Rh2
Source: Alexandria
Functional: PBE
Structure: optimized geometry

Unit cell a=4.7918 b=4.7918 c=10.8321 alpha=90.00 beta=90.00 gamma=90.00
With the nearest neighbours (Å) after each atom.
Sites, in units of the cell vectors:
Ba 0.0000 0.0000 0.0000  8 Bi 3.67
Ce 0.0000 0.0000 0.5000  8 Bi 3.56, 8 Rh 3.63
Bi 0.0000 0.5000 0.2572  2 Rh 2.74
Bi 0.5000 0.0000 0.7428  2 Rh 2.74
Bi 0.5000 0.0000 0.2572  2 Rh 2.74
Bi 0.0000 0.5000 0.7428  2 Rh 2.74
Rh 0.5000 0.5000 0.3792  1 Rh 2.62, 4 Bi 2.74
Rh 0.5000 0.5000 0.6208  1 Rh 2.62, 4 Bi 2.74

Computed properties:
Magnetic moment in Bohr magnetons per cell: 1.24
ΔH_f (0 K) in eV per formula unit: -3.1
Density in Mg/m³: 8.81
Calculated total energy in eV/atom: -5.1541
Density of states at the Fermi level in states/eV/atom: 1.228

***

No. 3
Compound: Ba3Ce2ThBi6
Source: Alexandria
Functional: PBE
Structure: optimized geometry

Unit cell a=8.2704 b=8.2704 c=8.5114 alpha=99.32 beta=99.32 gamma=120.00
With the nearest neighbours (Å) after each atom.
Sites, in units of the cell vectors:
Ba 0.1658 0.8342 0.5000  6 Bi 3.59-3.60
Ba 0.8342 0.1658 0.5000  6 Bi 3.59-3.60
Ba 0.5000 0.5000 0.5000  6 Bi 3.58-3.60
Ce 0.3332 0.6668 0.0000  6 Bi 3.24
Ce 0.6668 0.3332 0.0000  6 Bi 3.24
Th 0.0000 0.0000 0.0000  6 Bi 3.27
Bi 0.9288 0.5927 0.7865  2 Ce 3.24, 1 Th 3.27, 3 Ba 3.59-3.60
Bi 0.7347 0.7347 0.2128  2 Ce 3.24, 1 Th 3.27, 3 Ba 3.58-3.60
Bi 0.0712 0.4073 0.2135  2 Ce 3.24, 1 Th 3.27, 3 Ba 3.59-3.60
Bi 0.5927 0.9288 0.7865  2 Ce 3.24, 1 Th 3.27, 3 Ba 3.59-3.60
Bi 0.2653 0.2653 0.7872  2 Ce 3.24, 1 Th 3.27, 3 Ba 3.58-3.60
Bi 0.4073 0.0712 0.2135  2 Ce 3.24, 1 Th 3.27, 3 Ba 3.59-3.60

Computed properties:
Magnetic moment in Bohr magnetons per cell: 0.21
ΔH_f (0 K) in eV per formula unit: -9.8
Density in Mg/m³: 7.58
Calculated total energy in eV/atom: -4.8466
Density of states at the Fermi level in states/eV/atom: 0.282

***

No. 4
Compound: Ba2CeThBi4
Source: Alexandria
Functional: PBE
Structure: optimized geometry

Unit cell a=4.7750 b=8.2711 c=8.5283 alpha=108.85 beta=90.00 gamma=90.00
With the nearest neighbours (Å) after each atom.
Sites, in units of the cell vectors:
Ba 0.5000 0.0000 0.5000  6 Bi 3.58
Ba 0.0000 0.5000 0.5000  6 Bi 3.60-3.61
Ce 0.0000 0.0000 0.0000  6 Bi 3.24-3.25
Th 0.5000 0.5000 0.0000  6 Bi 3.27
Bi 0.5000 0.2352 0.2131  2 Ce 3.24, 1 Th 3.27, 3 Ba 3.58-3.61
Bi 0.5000 0.7648 0.7869  2 Ce 3.24, 1 Th 3.27, 3 Ba 3.58-3.61
Bi 0.0000 0.2589 0.7839  1 Ce 3.25, 2 Th 3.27, 3 Ba 3.58-3.60
Bi 0.0000 0.7411 0.2162  1 Ce 3.25, 2 Th 3.27, 3 Ba 3.58-3.60

Computed properties:
Magnetic moment in Bohr magnetons per cell: 0.11
ΔH_f (0 K) in eV per formula unit: -6.5
Density in Mg/m³: 7.72
Calculated total energy in eV/atom: -4.9042
Density of states at the Fermi level in states/eV/atom: 0.251

***

No. 5
Compound: Ba4Bi2Cl
Source: Alexandria
Functional: PBE
Structure: optimized geometry

Unit cell a=9.2294 b=9.2294 c=9.2294 alpha=111.70 beta=105.09 gamma=111.70
With the nearest neighbours (Å) after each atom.
Sites, in units of the cell vectors:
Cl 0.0000 0.0000 0.0000  4 Ba 3.32
Cl 0.7500 0.5000 0.2500  4 Ba 3.32
Ba 0.1210 0.8780 0.3926  1 Cl 3.32, 2 Bi 3.50-3.53
Ba 0.6074 0.7284 0.4854  1 Cl 3.32, 2 Bi 3.50-3.53
Ba 0.9930 0.6220 0.7646  1 Cl 3.32, 2 Bi 3.50-3.53
Ba 0.2354 0.2284 0.8574  1 Cl 3.32, 2 Bi 3.50-3.53
Ba 0.6290 0.7716 0.0070  1 Cl 3.32, 2 Bi 3.50-3.53
Ba 0.7570 0.2716 0.8790  1 Cl 3.32, 2 Bi 3.50-3.53
Ba 0.5146 0.1220 0.2430  1 Cl 3.32, 2 Bi 3.50-3.53
Ba 0.1426 0.3780 0.3710  1 Cl 3.32, 2 Bi 3.50-3.53
Bi 0.8750 0.1231 0.4981  8 Ba 3.50-3.87
Bi 0.5019 0.3769 0.6250  8 Ba 3.50-3.87
Bi 0.3750 0.8769 0.7519  8 Ba 3.50-3.87
Bi 0.2481 0.6231 0.1250  8 Ba 3.50-3.87

Computed properties:
Magnetic moment in Bohr magnetons per cell: 1.59
Density in Mg/m³: 5.53
Calculated total energy in eV/atom: -3.6353
Density of states at the Fermi level in states/eV/atom: 0.517
Uncorrected formation energy in eV/atom: -1.164
E above lowest polymorph in eV/atom: 0.000

***

No. 6
Compound: BaBi2Cl
Source: Alexandria
Functional: PBE
Structure: optimized geometry

Unit cell a=4.5521 b=4.5521 c=14.6798 alpha=81.08 beta=81.08 gamma=90.00
With the nearest neighbours (Å) after each atom.
Sites, in units of the cell vectors:
Cl 0.5000 0.5000 0.0000  4 Ba 3.22
Cl 0.2500 0.7500 0.5000  4 Ba 3.22
Bi 0.1005 0.1250 0.2500  4 Bi 3.07-3.38
Bi 0.6495 0.6250 0.2500  4 Bi 3.07-3.38
Bi 0.3750 0.8995 0.7500  4 Bi 3.07-3.38
Bi 0.8750 0.3505 0.7500  4 Bi 3.07-3.38
Ba 0.0000 0.0000 0.0000  4 Cl 3.22
Ba 0.7500 0.2500 0.5000  4 Cl 3.22

Computed properties:
Magnetic moment in Bohr magnetons per cell: 0.00
Density in Mg/m³: 6.61
Calculated total energy in eV/atom: -3.8739
Density of states at the Fermi level in states/eV/atom: 0.507
Uncorrected formation energy in eV/atom: -0.991
E above lowest polymorph in eV/atom: 0.000

***

No. 7
Compound: Ba2BiCl6
Source: Alexandria
Functional: PBE
Structure: optimized geometry

Unit cell a=7.3720 b=7.3720 c=12.7851 alpha=90.00 beta=90.00 gamma=90.00
With the nearest neighbours (Å) after each atom.
Sites, in units of the cell vectors:
Ba 0.0000 0.0000 0.3204  6 Cl 3.00-3.31
Ba 0.5000 0.5000 0.8204  6 Cl 3.00-3.31
Ba 0.5000 0.5000 0.1796  6 Cl 3.00-3.31
Ba 0.0000 0.0000 0.6796  6 Cl 3.00-3.31
Bi 0.0000 0.0000 0.0000  6 Cl 2.83-2.96
Bi 0.5000 0.5000 0.5000  6 Cl 2.83-2.96
Cl 0.2862 0.2862 0.3473  1 Bi 2.96, 2 Ba 3.00-3.09
Cl 0.7138 0.7138 0.3473  1 Bi 2.96, 2 Ba 3.00-3.09
Cl 0.2138 0.7862 0.8473  1 Bi 2.96, 2 Ba 3.00-3.09
Cl 0.7862 0.2138 0.8473  1 Bi 2.96, 2 Ba 3.00-3.09
Cl 0.2138 0.7862 0.1527  1 Bi 2.96, 2 Ba 3.00-3.09
Cl 0.7862 0.2138 0.1527  1 Bi 2.96, 2 Ba 3.00-3.09
Cl 0.2862 0.2862 0.6527  1 Bi 2.96, 2 Ba 3.00-3.09
Cl 0.7138 0.7138 0.6527  1 Bi 2.96, 2 Ba 3.00-3.09
Cl 0.2718 0.2718 0.0000  1 Bi 2.83
Cl 0.7282 0.7282 0.0000  1 Bi 2.83
Cl 0.2282 0.7718 0.5000  1 Bi 2.83
Cl 0.7718 0.2282 0.5000  1 Bi 2.83

Computed properties:
Magnetic moment in Bohr magnetons per cell: 1.84
Density in Mg/m³: 3.33
Calculated total energy in eV/atom: -3.8502
Density of states at the Fermi level in states/eV/atom: 0.045
Uncorrected formation energy in eV/atom: -1.761

***

No. 8
Compound: Ba2BiCl
Source: Alexandria
Functional: PBE
Structure: optimized geometry

Unit cell a=4.9233 b=4.9233 c=8.8445 alpha=73.84 beta=73.84 gamma=60.00
With the nearest neighbours (Å) after each atom.
Sites, in units of the cell vectors:
Ba 0.0799 0.0799 0.7604  3 Bi 3.46, 3 Cl 3.50
Ba 0.2576 0.2576 0.2273  3 Bi 3.44, 3 Cl 3.73
Bi 0.6679 0.6679 0.9962  6 Ba 3.44-3.46
Cl 0.4946 0.4946 0.5161  6 Ba 3.50-3.73

Computed properties:
Magnetic moment in Bohr magnetons per cell: 0.00
Density in Mg/m³: 4.90
Calculated total energy in eV/atom: -3.8336
Uncorrected formation energy in eV/atom: -1.440

***

No. 9
Compound: BaBiCl3
Source: Alexandria
Functional: PBE
Structure: optimized geometry

Unit cell a=5.9866 b=5.9866 c=5.9866 alpha=90.00 beta=90.00 gamma=90.00
With the nearest neighbours (Å) after each atom.
Sites, in units of the cell vectors:
Cl 0.0000 0.5000 0.0000  2 Ba 2.99
Cl 0.0000 0.0000 0.5000  2 Ba 2.99
Cl 0.5000 0.0000 0.0000  2 Ba 2.99
Ba 0.0000 0.0000 0.0000  6 Cl 2.99
Bi 0.5000 0.5000 0.5000  12 Cl 4.23

Computed properties:
Magnetic moment in Bohr magnetons per cell: 2.00
Density in Mg/m³: 3.50
Calculated total energy in eV/atom: -3.3642
Density of states at the Fermi level in states/eV/atom: 1.589
Uncorrected formation energy in eV/atom: -1.095
E above lowest polymorph in eV/atom: 0.000

***

No. 10
Compound: Ba2BiCl
Source: Alexandria
Functional: PBE
Structure: optimized geometry

Unit cell a=5.9697 b=5.9697 c=5.9697 alpha=60.00 beta=60.00 gamma=60.00
With the nearest neighbours (Å) after each atom.
Sites, in units of the cell vectors:
Cl 0.0000 0.0000 0.0000  8 Ba 3.66
Bi 0.5000 0.5000 0.5000  8 Ba 3.66
Ba 0.2500 0.2500 0.2500  4 Bi 3.66, 4 Cl 3.66
Ba 0.7500 0.7500 0.7500  4 Bi 3.66, 4 Cl 3.66

Computed properties:
Magnetic moment in Bohr magnetons per cell: 0.00
Density in Mg/m³: 5.73
Calculated total energy in eV/atom: -3.8233
Density of states at the Fermi level in states/eV/atom: 0.000
Uncorrected formation energy in eV/atom: -1.430

***

No. 11
Compound: BaBiCl6
Source: Alexandria
Functional: PBE
Structure: optimized geometry

Unit cell a=6.1087 b=6.1087 c=7.3842 alpha=74.64 beta=74.64 gamma=95.58
With the nearest neighbours (Å) after each atom.
Sites, in units of the cell vectors:
Ba 0.5000 0.5000 0.5000  10 Cl 3.28-3.49
Bi 0.0000 0.0000 0.0000  6 Cl 2.61-2.67
Cl 0.0714 0.6876 0.2974  1 Bi 2.67
Cl 0.6876 0.0714 0.2974  1 Bi 2.67
Cl 0.3124 0.9286 0.7026  1 Bi 2.67
Cl 0.9286 0.3124 0.7026  1 Bi 2.67
Cl 0.3236 0.3236 0.9832  1 Bi 2.61
Cl 0.6764 0.6764 0.0168  1 Bi 2.61

Computed properties:
Magnetic moment in Bohr magnetons per cell: 0.00
Density in Mg/m³: 3.68
Calculated total energy in eV/atom: -3.4544
Density of states at the Fermi level in states/eV/atom: 0.345
Uncorrected formation energy in eV/atom: -1.344

***

No. 12
Compound: BaBi2Cl8
Source: Alexandria
Functional: PBE
Structure: optimized geometry

Unit cell a=5.4454 b=7.7214 c=7.7214 alpha=111.49 beta=96.92 gamma=96.92
With the nearest neighbours (Å) after each atom.
Sites, in units of the cell vectors:
Ba 0.5000 0.0000 0.0000  8 Cl 3.18-3.55
Bi 0.0000 0.3193 0.6807  8 Cl 2.87-2.88
Bi 0.0000 0.6807 0.3193  8 Cl 2.87-2.88
Cl 0.9259 0.9439 0.6779  2 Bi 2.87-2.88, 1 Cl 3.21
Cl 0.9259 0.6779 0.9439  2 Bi 2.87-2.88, 1 Cl 3.21
Cl 0.2974 0.6137 0.6137  2 Bi 2.87
Cl 0.5000 0.7507 0.2493  2 Bi 2.87, 1 Ba 3.18
Cl 0.5000 0.2493 0.7507  2 Bi 2.87, 1 Ba 3.18
Cl 0.7026 0.3863 0.3863  2 Bi 2.87
Cl 0.0741 0.3221 0.0561  2 Bi 2.87-2.88, 1 Cl 3.21
Cl 0.0741 0.0561 0.3221  2 Bi 2.87-2.88, 1 Cl 3.21

Computed properties:
Magnetic moment in Bohr magnetons per cell: 0.00
Density in Mg/m³: 4.72
Calculated total energy in eV/atom: -3.5645
Density of states at the Fermi level in states/eV/atom: 0.000
Uncorrected formation energy in eV/atom: -1.341